[1]
Density functional theory data (GGA-PBE) for crystalline TaNb2Sn4 at its relaxed geometry.

Cell lengths 7.845, 7.845, 7.845 Å; angles 140.43, 140.43, 57.20 degrees
Fractional coordinates of all 7 atoms:
Nb: 0.410 0.410 0.000
Nb: 0.590 0.590 0.000
Sn: 0.200 0.200 0.000
Sn: 0.800 0.800 0.000
Sn: 0.500 0.000 0.500
Sn: 0.000 0.500 0.500
Ta: 0.000 0.000 0.000

Calculated values
Total energy: -43.45 eV per cell
Space group: I4/mmm, No. 139

=====

[2]
Density functional theory data (GGA-PBE) for crystalline TaNb2Sn at its relaxed geometry.

Cell lengths 4.742, 4.742, 4.742 Å; angles 60.00, 60.00, 60.00 degrees
Fractional coordinates of all 4 atoms:
Nb: 0.000 0.000 0.000
Nb: 0.750 0.750 0.750
Sn: 0.500 0.500 0.500
Ta: 0.250 0.250 0.250

Calculated values
Total energy: -35.76 eV per cell
Space group: F-43m, No. 216

=====

[3]
Density functional theory data (GGA-PBE) for crystalline Ta2NbSn at its relaxed geometry.

Cell lengths 5.345, 5.345, 5.265 Å; angles 90.00, 90.00, 90.00 degrees
Fractional coordinates of all 8 atoms:
Nb: 0.000 0.000 0.250
Nb: 0.000 0.000 0.750
Sn: 0.000 0.500 0.000
Sn: 0.500 0.000 0.500
Ta: 0.500 0.254 0.000
Ta: 0.500 0.746 0.000
Ta: 0.254 0.500 0.500
Ta: 0.746 0.500 0.500

Calculated values
Total energy: -76.30 eV per cell
Space group: P4_2/mmc, No. 131

=====

[4]
Density functional theory data (GGA-PBE) for crystalline TaNbSn2Te4 at its relaxed geometry.

Cell lengths 3.632, 3.632, 20.005 Å; angles 90.00, 90.00, 120.00 degrees
Fractional coordinates of all 8 atoms:
Nb: 0.000 0.000 0.000
Sn: 0.667 0.333 0.249
Sn: 0.667 0.333 0.751
Ta: 0.333 0.667 0.500
Te: 0.667 0.333 0.092
Te: 0.667 0.333 0.408
Te: 0.667 0.333 0.592
Te: 0.667 0.333 0.908

Calculated values
Total energy: -44.57 eV per cell
Space group: P-6m2, No. 187

=====

[5]
Density functional theory data (GGA-PBE) for crystalline TbNbSn at its relaxed geometry.

Cell lengths 4.919, 4.919, 4.919 Å; angles 60.00, 60.00, 60.00 degrees
Fractional coordinates of all 3 atoms:
Nb: 0.000 0.000 0.000
Sn: 0.250 0.250 0.250
Tb: 0.750 0.750 0.750

Calculated values
Total energy: -17.44 eV per cell
Space group: F-43m, No. 216

=====

[6]
Density functional theory data (GGA-PBE) for crystalline NbTcSn at its relaxed geometry.

Cell lengths 4.455, 4.455, 4.455 Å; angles 60.00, 60.00, 60.00 degrees
Fractional coordinates of all 3 atoms:
Nb: 0.250 0.250 0.250
Sn: 0.750 0.750 0.750
Tc: 0.000 0.000 0.000

Calculated values
Space group: F-43m, No. 216
Energy relative to the lowest polymorph listed for this composition: 0 meV/atom

=====

Please write out number 2 again, unchanged.
Density functional theory data (GGA-PBE) for crystalline TaNb2Sn at its relaxed geometry.

Cell lengths 4.742, 4.742, 4.742 Å; angles 60.00, 60.00, 60.00 degrees
Fractional coordinates of all 4 atoms:
Nb: 0.000 0.000 0.000
Nb: 0.750 0.750 0.750
Sn: 0.500 0.500 0.500
Ta: 0.250 0.250 0.250

Calculated values
Total energy: -35.76 eV per cell
Space group: F-43m, No. 216

=====

Question: What is the formula in the fourth record?
Answer: TaNbSn2Te4

=====

Question: Which formula does entry 3 have?
Answer: Ta2NbSn